VASP calculation (GGA+U) on an optimized crystal structure of Li2ErMoO6.

The structure in POSCAR format:
```
Li2ErMoO6
1.0
-0.075 -1.725 -5.155
-3.254 -4.011 1.389
-6.243 4.582 -1.395
Li Er Mo O
4 2 2 12
Direct
0.965 0.973 0.260
0.465 0.527 0.760
0.035 0.027 0.740
0.535 0.473 0.240
0.500 0.000 0.000
0.000 0.500 0.500
0.500 0.000 0.500
0.000 0.500 0.000
0.315 0.636 0.055
0.815 0.864 0.555
0.685 0.364 0.945
0.185 0.136 0.445
0.377 0.663 0.433
0.877 0.837 0.933
0.623 0.337 0.567
0.123 0.163 0.067
0.894 0.570 0.231
0.394 0.930 0.731
0.106 0.430 0.769
0.606 0.070 0.269
```

magnetic moment	1.0	μB/f.u.
total DFT energy (no corrections)	-131.8	eV/cell
space group	P2_1/c



VASP calculation (GGA+U) on an optimized crystal structure of LiErMoO4.

The structure in POSCAR format:
```
LiErMoO4
1.0
6.308 0.000 0.000
-3.154 5.622 -0.509
0.000 -3.487 5.735
Li Er Mo O
2 2 2 8
Direct
0.897 0.795 0.147
0.103 0.205 0.853
0.500 0.000 0.500
0.500 0.000 0.000
0.500 0.500 0.500
0.000 0.500 0.500
0.746 0.492 0.708
0.288 0.048 0.274
0.759 0.048 0.274
0.746 0.492 0.284
0.254 0.508 0.716
0.712 0.952 0.726
0.241 0.952 0.726
0.254 0.508 0.292
```

magnetic moment	2.0	μB/f.u.
total DFT energy (no corrections)	-100.5	eV/cell
space group	Imma